[1]
CrNiSb2Te | PBE | optimized geometry

Computed properties:
SG = P4/mmm
E_form (uncorrected) = 0.812 eV/atom
electronic total energy = -4.546 eV/atom
V = 126.4 Å³ per cell

Lattice parameters (Å, degrees): 4.9839 4.9839 5.0874 90.00 90.00 90.00
Closest atoms and distances in Å follow each position.
Atoms (fractional coordinates):
Sb 0.0000 0.5000 0.0000  2 Cr 2.49
Sb 0.5000 0.0000 0.0000  2 Cr 2.49
Te 0.0000 0.0000 0.5000  2 Cr 2.54
Cr 0.0000 0.0000 0.0000  4 Sb 2.49, 2 Te 2.54
Ni 0.5000 0.5000 0.5000  4 Te 3.52, 8 Sb 3.56

[2]
Mn2FeTc | PBE | optimized geometry

Computed properties:
SG = R3m
electronic total energy = -9.122 eV/atom
ΔH_f (0 K) = 0.68 eV per formula unit
V = 47.6 Å³ per cell

Lattice parameters (Å, degrees): 8.4493 8.4493 8.4493 17.49 17.49 17.49
Closest atoms and distances in Å follow each position.
Atoms (fractional coordinates):
Fe 0.7462 0.7462 0.7462  3 Mn 2.49, 6 Fe 2.57, 3 Tc 2.64
Mn 0.9995 0.9995 0.9995  9 Mn 2.46-2.57, 3 Fe 2.49
Mn 0.2540 0.2540 0.2540  9 Mn 2.46-2.57, 3 Tc 2.63
Tc 0.5002 0.5002 0.5002  6 Tc 2.57, 3 Mn 2.63, 3 Fe 2.64

[3]
KBaOs4 | PBE | optimized geometry

Computed properties:
SG = F-43m
electronic total energy = -6.960 eV/atom
ΔH_f (0 K) = 6.18 eV per formula unit
V = 120.3 Å³ per cell

Lattice parameters (Å, degrees): 5.5413 5.5413 5.5413 60.00 60.00 60.00
Closest atoms and distances in Å follow each position.
Atoms (fractional coordinates):
K 0.0000 0.0000 0.0000  12 Os 3.25, 4 Ba 3.39
Ba 0.7500 0.7500 0.7500  12 Os 3.25, 4 K 3.39
Os 0.3746 0.8761 0.3746  6 Os 2.76-2.78
Os 0.8761 0.3746 0.3746  6 Os 2.76-2.78
Os 0.3746 0.3746 0.8761  6 Os 2.76-2.78
Os 0.3746 0.3746 0.3746  6 Os 2.76-2.78

[4]
TcNi8Mo2 | PBE | optimized geometry

Computed properties:
SG = P-1
electronic total energy = -7.134 eV/atom
ΔH_f (0 K) = -0.19 eV per formula unit
V = 132.7 Å³ per cell

Lattice parameters (Å, degrees): 4.4928 6.8194 6.8528 130.75 123.46 69.93
Closest atoms and distances in Å follow each position.
Atoms (fractional coordinates):
Tc 0.5000 0.0000 0.0000  10 Ni 2.55-2.59, 2 Mo 2.62
Ni 0.5848 0.4505 0.1766  8 Ni 2.52-2.61, 1 Tc 2.55, 3 Mo 2.55-2.63
Ni 0.3237 0.0931 0.6388  2 Mo 2.52-2.61, 9 Ni 2.52-2.64, 1 Tc 2.59
Ni 0.1337 0.1798 0.2666  7 Ni 2.51-2.61, 3 Mo 2.55-2.67, 2 Tc 2.56-2.59
Ni 0.0481 0.7319 0.0957  2 Mo 2.52-2.54, 9 Ni 2.55-2.61, 1 Tc 2.56
Ni 0.8663 0.8202 0.7334  7 Ni 2.51-2.61, 3 Mo 2.55-2.67, 2 Tc 2.56-2.59
Ni 0.6763 0.9069 0.3612  2 Mo 2.52-2.61, 9 Ni 2.52-2.64, 1 Tc 2.59
Ni 0.4152 0.5495 0.8234  8 Ni 2.52-2.61, 1 Tc 2.55, 3 Mo 2.55-2.63
Ni 0.9519 0.2681 0.9043  2 Mo 2.52-2.54, 9 Ni 2.55-2.61, 1 Tc 2.56
Mo 0.2077 0.6313 0.4400  10 Ni 2.52-2.67, 1 Tc 2.62, 1 Mo 2.66
Mo 0.7923 0.3687 0.5600  10 Ni 2.52-2.67, 1 Tc 2.62, 1 Mo 2.66

[5]
KPbC2 | PBE | optimized geometry

Computed properties:
SG = I-42d
electronic total energy = -3.759 eV/atom
ΔH_f (0 K) = 8.22 eV per formula unit
V = 187.9 Å³ per cell

Lattice parameters (Å, degrees): 5.1649 5.1649 7.9334 71.00 71.00 90.00
Closest atoms and distances in Å follow each position.
Atoms (fractional coordinates):
Pb 0.0000 0.0000 0.0000  4 C 2.27
Pb 0.7500 0.2500 0.5000  4 C 2.27
K 0.5000 0.5000 0.0000  4 C 2.93
K 0.2500 0.7500 0.5000  4 C 2.93
C 0.7536 0.1250 0.2500  2 Pb 2.27
C 0.9964 0.6250 0.2500  2 Pb 2.27
C 0.3750 0.2464 0.7500  2 Pb 2.27
C 0.8750 0.0036 0.7500  2 Pb 2.27

[6]
HoGa4PdPt2 | PBE | optimized geometry

Computed properties:
SG = R-3m
electronic total energy = -4.937 eV/atom
ΔH_f (0 K) = -5.54 eV per formula unit
V = 137.8 Å³ per cell

Lattice parameters (Å, degrees): 4.3021 4.3021 8.9509 76.09 76.09 60.00
Closest atoms and distances in Å follow each position.
Atoms (fractional coordinates):
Ho 0.0000 0.0000 0.0000  6 Ga 2.97
Ga 0.3962 0.3962 0.8115  3 Pt 2.57, 1 Pd 2.68
Ga 0.8690 0.8690 0.3931  3 Pd 2.65, 4 Pt 2.72-2.94
Ga 0.1310 0.1310 0.6069  3 Pd 2.65, 4 Pt 2.72-2.94
Ga 0.6038 0.6038 0.1885  3 Pt 2.57, 1 Pd 2.68
Pd 0.5000 0.5000 0.5000  8 Ga 2.65-2.68
Pt 0.7552 0.7552 0.7344  6 Ga 2.57-2.72
Pt 0.2448 0.2448 0.2656  6 Ga 2.57-2.72

[7]
RePt2C | PBE | optimized geometry

Computed properties:
SG = I-42d
electronic total energy = -7.638 eV/atom
ΔH_f (0 K) = 3.20 eV per formula unit
V = 109.2 Å³ per cell

Lattice parameters (Å, degrees): 6.6627 6.6627 5.3145 51.18 51.18 90.00
Closest atoms and distances in Å follow each position.
Atoms (fractional coordinates):
Re 0.0000 0.0000 0.0000  2 C 2.46, 4 Pt 2.72
Re 0.7500 0.2500 0.5000  2 C 2.46, 4 Pt 2.72
C 0.5000 0.5000 0.0000  4 Pt 2.09
C 0.2500 0.7500 0.5000  4 Pt 2.09
Pt 0.5391 0.1250 0.2500  2 C 2.09
Pt 0.2109 0.6250 0.2500  2 C 2.09
Pt 0.3750 0.4609 0.7500  2 C 2.09
Pt 0.8750 0.7891 0.7500  2 C 2.09

[8]
YSbRu2 | PBE | optimized geometry

Computed properties:
SG = P4mm
E_form (uncorrected) = -0.023 eV/atom
electronic total energy = -7.308 eV/atom
V = 77.0 Å³ per cell

Lattice parameters (Å, degrees): 3.6777 3.6777 5.6910 90.00 90.00 90.00
Closest atoms and distances in Å follow each position.
Atoms (fractional coordinates):
Ru 0.0000 0.0000 0.9826  1 Sb 2.68, 4 Y 2.84
Ru 0.5000 0.5000 0.2810  4 Sb 2.78, 2 Y 2.83-2.86, 4 Ru 3.11
Sb 0.0000 0.0000 0.4529  5 Ru 2.68-2.78
Y 0.5000 0.5000 0.7834  6 Ru 2.83-2.86

[9]
Al3C5 | PBE | optimized geometry

Computed properties:
SG = P6_3/mcm
electronic total energy = -6.408 eV/atom
ΔH_f (0 K) = 6.09 eV per formula unit
V = 164.3 Å³ per cell

Lattice parameters (Å, degrees): 5.8936 5.8936 5.4626 90.00 90.00 120.00
Closest atoms and distances in Å follow each position.
Atoms (fractional coordinates):
C 0.6667 0.3333 0.0000  6 Al 2.19
C 0.3333 0.6667 0.5000  6 Al 2.19
C 0.3333 0.6667 0.0000  6 Al 2.19
C 0.6667 0.3333 0.5000  6 Al 2.19
C 0.0000 0.8633 0.2500  2 C 1.40
C 0.0000 0.1367 0.7500  2 C 1.40
C 0.1367 0.1367 0.2500  2 C 1.40
C 0.8633 0.0000 0.2500  2 C 1.40
C 0.1367 0.0000 0.7500  2 C 1.40
C 0.8633 0.8633 0.7500  2 C 1.40
Al 0.0000 0.5293 0.2500  5 C 1.97-2.19
Al 0.0000 0.4707 0.7500  5 C 1.97-2.19
Al 0.4707 0.4707 0.2500  5 C 1.97-2.19
Al 0.5293 0.0000 0.2500  5 C 1.97-2.19
Al 0.4707 0.0000 0.7500  5 C 1.97-2.19
Al 0.5293 0.5293 0.7500  5 C 1.97-2.19

[10]
MnFe2Co | PBE | optimized geometry

Computed properties:
SG = Cmm2
electronic total energy = -8.221 eV/atom
ΔH_f (0 K) = 0.32 eV per formula unit
V = 45.4 Å³ per cell

Lattice parameters (Å, degrees): 2.4523 2.4523 8.0537 90.00 90.00 110.51
Closest atoms and distances in Å follow each position.
Atoms (fractional coordinates):
Co 0.5000 0.5000 0.7498  2 Fe 2.45, 2 Mn 2.45, 4 Co 2.45
Fe 0.0000 0.0000 0.9994  2 Co 2.45, 6 Fe 2.45-2.46
Fe 0.5000 0.5000 0.2511  2 Mn 2.44, 6 Fe 2.45-2.46
Mn 0.0000 0.0000 0.4997  2 Fe 2.44, 2 Co 2.45, 4 Mn 2.45

[11]
CeY2Er3As6 | PBE | optimized geometry

Computed properties:
SG = C2/m
electronic total energy = -6.555 eV/atom
ΔH_f (0 K) = -18.22 eV per formula unit
V = 296.3 Å³ per cell

Lattice parameters (Å, degrees): 4.1224 8.2363 9.1995 102.92 102.95 90.00
Closest atoms and distances in Å follow each position.
Atoms (fractional coordinates):
Ce 0.5000 0.0000 0.0000  6 As 2.93-2.94
Y 0.8321 0.6643 0.6642  6 As 2.90-2.94
Y 0.1679 0.3357 0.3358  6 As 2.90-2.94
Er 0.5000 0.5000 0.0000  6 As 2.89
Er 0.8328 0.1683 0.6655  6 As 2.88-2.91
Er 0.1672 0.8317 0.3345  6 As 2.88-2.91
As 0.3323 0.9184 0.6646  3 Er 2.88-2.91, 1 Ce 2.93, 2 Y 2.94
As 0.6659 0.5849 0.3317  3 Er 2.89, 3 Y 2.90-2.92
As 0.6677 0.0816 0.3354  3 Er 2.88-2.91, 1 Ce 2.93, 2 Y 2.94
As 0.9996 0.2537 0.9991  3 Er 2.89-2.91, 2 Ce 2.94, 1 Y 2.94
As 0.0004 0.7463 0.0009  3 Er 2.89-2.91, 2 Ce 2.94, 1 Y 2.94
As 0.3341 0.4151 0.6683  3 Er 2.89, 3 Y 2.90-2.92

[12]
VTe2I | PBE | optimized geometry

Computed properties:
SG = R-3m
E_form (uncorrected) = -0.158 eV/atom
electronic total energy = -4.396 eV/atom
V = 129.3 Å³ per cell

Lattice parameters (Å, degrees): 9.1076 9.1076 9.1076 26.15 26.15 26.15
Closest atoms and distances in Å follow each position.
Atoms (fractional coordinates):
I 0.0000 0.0000 0.0000  2 Te 2.98
Te 0.8870 0.8870 0.8870  3 V 2.77, 1 I 2.98
Te 0.1130 0.1130 0.1130  3 V 2.77, 1 I 2.98
V 0.5000 0.5000 0.5000  6 Te 2.77